[1]
# TbEu2I (GGA-PBE, relaxed)
data_TbEu2I
_chemical_formula_sum 'Tb1 Eu2 I1'
_symmetry_space_group_name_H-M 'P 4/m m m'
_symmetry_Int_Tables_number 123
_symmetry_space_group_name_Hall '-P 4 2'
_cell_length_a 3.814
_cell_length_b 3.814
_cell_length_c 10.125
_cell_angle_alpha 90.00
_cell_angle_beta 90.00
_cell_angle_gamma 90.00
loop_
_atom_site_label
_atom_site_type_symbol
_atom_site_fract_x
_atom_site_fract_y
_atom_site_fract_z
_atom_site_occupancy
Tb1 Tb 0.000 0.000 0.000 1
Eu1 Eu 0.500 0.500 0.267 1
I1 I 0.000 0.000 0.500 1
# E_tot = -28.52 eV per formula unit
# Density of states at the Fermi level = 3.485 states/eV per atom
# Total moment = 15.05 μB/cell
# Formation energy (no corrections) = -0.449 eV/atom

=====

[2]
# EuTeI2 (GGA-PBE, relaxed)
data_EuTeI2
_chemical_formula_sum 'Eu3 Te3 I6'
_symmetry_space_group_name_H-M 'R -3 m'
_symmetry_Int_Tables_number 166
_symmetry_space_group_name_Hall '-R 3 2"'
_cell_length_a 4.5247
_cell_length_b 4.5247
_cell_length_c 34.6210
_cell_angle_alpha 90.00
_cell_angle_beta 90.00
_cell_angle_gamma 120.00
loop_
_atom_site_label
_atom_site_type_symbol
_atom_site_fract_x
_atom_site_fract_y
_atom_site_fract_z
_atom_site_occupancy
Eu1 Eu 0.0000 0.0000 0.0000 1
Te1 Te 0.0000 0.0000 0.5000 1
I1 I 0.0000 0.0000 0.3879 1
# E_tot = -19.45 eV per formula unit
# Density of states at the Fermi level = 3.701 states/eV per atom
# Total moment = 14.97 μB/cell
# Formation energy (no corrections) = -0.733 eV/atom

=====

[3]
# Eu3Tl5I12 (GGA-PBE, relaxed)
data_Eu3Tl5I12
_chemical_formula_sum 'Eu24 Tl40 I96'
_symmetry_space_group_name_H-M 'I a -3 d'
_symmetry_Int_Tables_number 230
_symmetry_space_group_name_Hall '-I 4bd 2c 3'
_cell_length_a 19.773
_cell_length_b 19.773
_cell_length_c 19.773
_cell_angle_alpha 90.00
_cell_angle_beta 90.00
_cell_angle_gamma 90.00
loop_
_atom_site_label
_atom_site_type_symbol
_atom_site_fract_x
_atom_site_fract_y
_atom_site_fract_z
_atom_site_occupancy
Eu1 Eu 0.000 0.250 0.125 1
Tl1 Tl 0.000 0.000 0.000 1
Tl2 Tl 0.000 0.250 0.375 1
I1 I 0.020 0.083 0.650 1
# E_tot = -79.68 eV per formula unit
# Density of states at the Fermi level = 2.492 states/eV per atom
# Total moment = 162.15 μB/cell
# Formation energy (no corrections) = -0.921 eV/atom

=====

[4]
# Eu2TlI (GGA-PBE, relaxed)
data_Eu2TlI
_chemical_formula_sum 'Eu6 Tl3 I3'
_symmetry_space_group_name_H-M 'R -3 m'
_symmetry_Int_Tables_number 166
_symmetry_space_group_name_Hall '-R 3 2"'
_cell_length_a 4.3403
_cell_length_b 4.3403
_cell_length_c 26.7729
_cell_angle_alpha 90.00
_cell_angle_beta 90.00
_cell_angle_gamma 120.00
loop_
_atom_site_label
_atom_site_type_symbol
_atom_site_fract_x
_atom_site_fract_y
_atom_site_fract_z
_atom_site_occupancy
Eu1 Eu 0.0000 0.0000 0.2472 1
Tl1 Tl 0.0000 0.0000 0.5000 1
I1 I 0.0000 0.0000 0.0000 1
# E_tot = -27.47 eV per formula unit
# Density of states at the Fermi level = 5.155 states/eV per atom
# E above lowest polymorph = 0.000 eV per formula unit
# Total moment = 43.09 μB/cell
# Formation energy (no corrections) = -0.750 eV/atom

=====

[5]
# Eu2TlI (GGA-PBE, relaxed)
data_Eu2TlI
_chemical_formula_sum 'Eu2 Tl1 I1'
_symmetry_space_group_name_H-M 'P 4/m m m'
_symmetry_Int_Tables_number 123
_symmetry_space_group_name_Hall '-P 4 2'
_cell_length_a 3.907
_cell_length_b 3.907
_cell_length_c 8.807
_cell_angle_alpha 90.00
_cell_angle_beta 90.00
_cell_angle_gamma 90.00
loop_
_atom_site_label
_atom_site_type_symbol
_atom_site_fract_x
_atom_site_fract_y
_atom_site_fract_z
_atom_site_occupancy
Eu1 Eu 0.000 0.000 0.233 1
Tl1 Tl 0.500 0.500 0.000 1
I1 I 0.500 0.500 0.500 1
# E_tot = -27.44 eV per formula unit
# Density of states at the Fermi level = 3.263 states/eV per atom
# E above lowest polymorph = 0.025 eV per formula unit
# Total moment = 14.34 μB/cell
# Formation energy (no corrections) = -0.744 eV/atom

=====

[6]
# EuTlI2 (GGA-PBE, relaxed)
data_EuTlI2
_chemical_formula_sum 'Eu3 Tl3 I6'
_symmetry_space_group_name_H-M 'R -3 m'
_symmetry_Int_Tables_number 166
_symmetry_space_group_name_Hall '-R 3 2"'
_cell_length_a 4.3989
_cell_length_b 4.3989
_cell_length_c 31.7178
_cell_angle_alpha 90.00
_cell_angle_beta 90.00
_cell_angle_gamma 120.00
loop_
_atom_site_label
_atom_site_type_symbol
_atom_site_fract_x
_atom_site_fract_y
_atom_site_fract_z
_atom_site_occupancy
Eu1 Eu 0.0000 0.0000 0.0000 1
Tl1 Tl 0.0000 0.0000 0.5000 1
I1 I 0.0000 0.0000 0.2704 1
# E_tot = -19.68 eV per formula unit
# Density of states at the Fermi level = 2.594 states/eV per atom
# Total moment = 21.62 μB/cell
# Formation energy (no corrections) = -0.986 eV/atom

=====

[7]
# Eu2TmI (GGA-PBE, relaxed)
data_Eu2TmI
_chemical_formula_sum 'Eu2 Tm1 I1'
_symmetry_space_group_name_H-M 'P 4/m m m'
_symmetry_Int_Tables_number 123
_symmetry_space_group_name_Hall '-P 4 2'
_cell_length_a 3.810
_cell_length_b 3.810
_cell_length_c 10.007
_cell_angle_alpha 90.00
_cell_angle_beta 90.00
_cell_angle_gamma 90.00
loop_
_atom_site_label
_atom_site_type_symbol
_atom_site_fract_x
_atom_site_fract_y
_atom_site_fract_z
_atom_site_occupancy
Eu1 Eu 0.000 0.000 0.237 1
Tm1 Tm 0.500 0.500 0.500 1
I1 I 0.500 0.500 0.000 1
# E_tot = -28.29 eV per formula unit
# Density of states at the Fermi level = 0.837 states/eV per atom
# Total moment = 15.08 μB/cell
# Formation energy (no corrections) = -0.429 eV/atom

=====

[8]
# EuTmI2 (GGA-PBE, relaxed)
data_EuTmI2
_chemical_formula_sum 'Eu3 Tm3 I6'
_symmetry_space_group_name_H-M 'R -3 m'
_symmetry_Int_Tables_number 166
_symmetry_space_group_name_Hall '-R 3 2"'
_cell_length_a 3.8714
_cell_length_b 3.8714
_cell_length_c 29.8578
_cell_angle_alpha 90.00
_cell_angle_beta 90.00
_cell_angle_gamma 120.00
loop_
_atom_site_label
_atom_site_type_symbol
_atom_site_fract_x
_atom_site_fract_y
_atom_site_fract_z
_atom_site_occupancy
Eu1 Eu 0.0000 0.0000 0.0000 1
Tm1 Tm 0.0000 0.0000 0.5000 1
I1 I 0.0000 0.0000 0.2449 1
# E_tot = -20.84 eV per formula unit
# Density of states at the Fermi level = 0.622 states/eV per atom
# Total moment = 23.43 μB/cell
# Formation energy (no corrections) = -0.748 eV/atom

=====

[9]
# Eu2YI (GGA-PBE, relaxed)
data_Eu2YI
_chemical_formula_sum 'Eu2 Y1 I1'
_symmetry_space_group_name_H-M 'P 4/m m m'
_symmetry_Int_Tables_number 123
_symmetry_space_group_name_Hall '-P 4 2'
_cell_length_a 3.821
_cell_length_b 3.821
_cell_length_c 10.113
_cell_angle_alpha 90.00
_cell_angle_beta 90.00
_cell_angle_gamma 90.00
loop_
_atom_site_label
_atom_site_type_symbol
_atom_site_fract_x
_atom_site_fract_y
_atom_site_fract_z
_atom_site_occupancy
Eu1 Eu 0.000 0.000 0.232 1
Y1 Y 0.500 0.500 0.500 1
I1 I 0.500 0.500 0.000 1
# E_tot = -30.39 eV per formula unit
# Density of states at the Fermi level = 3.203 states/eV per atom
# Total moment = 15.16 μB/cell
# Formation energy (no corrections) = -0.458 eV/atom

=====

[10]
# EuY2I (GGA-PBE, relaxed)
data_EuY2I
_chemical_formula_sum 'Eu3 Y6 I3'
_symmetry_space_group_name_H-M 'R -3 m'
_symmetry_Int_Tables_number 166
_symmetry_space_group_name_Hall '-R 3 2"'
_cell_length_a 3.6886
_cell_length_b 3.6886
_cell_length_c 35.6370
_cell_angle_alpha 90.00
_cell_angle_beta 90.00
_cell_angle_gamma 120.00
loop_
_atom_site_label
_atom_site_type_symbol
_atom_site_fract_x
_atom_site_fract_y
_atom_site_fract_z
_atom_site_occupancy
Eu1 Eu 0.0000 0.0000 0.0000 1
Y1 Y 0.0000 0.0000 0.0972 1
I1 I 0.0000 0.0000 0.5000 1
# E_tot = -25.09 eV per formula unit
# Density of states at the Fermi level = 1.557 states/eV per atom
# Total moment = 24.99 μB/cell
# Formation energy (no corrections) = -0.085 eV/atom

=====

[11]
# Eu3In (GGA-PBE, relaxed)
data_Eu3In
_chemical_formula_sum 'Eu6 In2'
_symmetry_space_group_name_H-M 'I 4/m m m'
_symmetry_Int_Tables_number 139
_symmetry_space_group_name_Hall '-I 4 2'
_cell_length_a 5.264
_cell_length_b 5.264
_cell_length_c 9.740
_cell_angle_alpha 90.00
_cell_angle_beta 90.00
_cell_angle_gamma 90.00
loop_
_atom_site_label
_atom_site_type_symbol
_atom_site_fract_x
_atom_site_fract_y
_atom_site_fract_z
_atom_site_occupancy
Eu1 Eu 0.000 0.000 0.000 1
Eu2 Eu 0.000 0.500 0.250 1
In1 In 0.000 0.000 0.500 1
# E_tot = -34.43 eV per formula unit
# Density of states at the Fermi level = 0.760 states/eV per atom
# Total moment = 44.19 μB/cell
# ΔH_f (0 K) = -20.88 kJ/mol of atoms

=====

[12]
# EuIn6 (GGA-PBE, relaxed)
data_EuIn6
_chemical_formula_sum 'Eu2 In12'
_symmetry_space_group_name_H-M 'I m -3 m'
_symmetry_Int_Tables_number 229
_symmetry_space_group_name_Hall '-I 4 2 3'
_cell_length_a 8.028
_cell_length_b 8.028
_cell_length_c 8.028
_cell_angle_alpha 90.00
_cell_angle_beta 90.00
_cell_angle_gamma 90.00
loop_
_atom_site_label
_atom_site_type_symbol
_atom_site_fract_x
_atom_site_fract_y
_atom_site_fract_z
_atom_site_occupancy
Eu1 Eu 0.000 0.000 0.000 1
In1 In 0.000 0.250 0.500 1
# E_tot = -25.42 eV per formula unit
# Density of states at the Fermi level = 0.843 states/eV per atom
# Total moment = 14.33 μB/cell
# ΔH_f (0 K) = 17.75 kJ/mol of atoms